# LaOsSe2N

A relaxed structure of LaOsSe2N (GGA-PBEsol, Alexandria).

Cell: 3.9704 5.6646 5.6646 Å, 90.00 90.00 90.00°
Last column: nearest neighbours and their distance in Å.
Element x y z (fractional)
Se1 0.0000 0.5000 0.0000  2 La 2.83
La1 0.0000 0.0000 0.0000  2 N 1.99
N1 0.5000 0.0000 0.0000  2 La 1.99
Os1 0.5000 0.5000 0.5000  8 Se 3.46
Se2 0.0000 0.0000 0.5000  2 La 2.83

ΔE_f (raw) (eV per atom): 1.44
Magnetization (μB/cell): 3.519

# KCoP2

A relaxed structure of KCoP2 (GGA-PBEsol, Alexandria).

Cell: 3.2260 3.4556 6.5325 Å, 90.00 90.00 90.00°
Last column: nearest neighbours and their distance in Å.
Element x y z (fractional)
K1 0.5000 0.5000 0.7674  6 P 3.17-3.26, 4 K 3.23-3.46, 2 Co 3.47
P1 0.0000 0.0000 0.0915  2 Co 2.19, 2 P 2.31
P2 0.5000 0.0000 0.3436  2 P 2.31, 4 Co 2.38
Co1 0.0000 0.5000 0.2975  6 P 2.19-2.38

E_form (eV per atom): -0.17
Magnetization (μB/cell): 0.000

# BaAl2CoP

A relaxed structure of BaAl2CoP (GGA-PBEsol, Alexandria).

Cell: 4.6022 4.6022 4.6151 Å, 90.00 90.00 90.00°
Last column: nearest neighbours and their distance in Å.
Element x y z (fractional)
Ba1 0.5000 0.5000 0.5000  4 P 3.25, 8 Al 3.26
Al1 0.0000 0.5000 0.0000  2 Co 2.30
Al2 0.5000 0.0000 0.0000  2 Co 2.30
P1 0.0000 0.0000 0.5000  2 Co 2.31
Co1 0.0000 0.0000 0.0000  4 Al 2.30, 2 P 2.31

E_form (eV per atom): -0.21
Magnetization (μB/cell): 0.000

# Tl3FeF6

A relaxed structure of Tl3FeF6 (GGA-PBEsol, Alexandria).

Cell: 6.2195 6.2195 6.2195 Å, 60.00 60.00 60.00°
Last column: nearest neighbours and their distance in Å.
Element x y z (fractional)
F1 0.2891 0.2891 0.7109  1 Fe 1.85
F2 0.7109 0.7109 0.2891  1 Fe 1.85
Tl1 0.7500 0.7500 0.7500  12 F 3.13
F3 0.2891 0.7109 0.7109  1 Fe 1.85
Tl2 0.0000 0.0000 0.0000  6 F 2.54
F4 0.2891 0.7109 0.2891  1 Fe 1.85
F5 0.7109 0.2891 0.7109  1 Fe 1.85
Fe1 0.5000 0.5000 0.5000  6 F 1.85
F6 0.7109 0.2891 0.2891  1 Fe 1.85
Tl3 0.2500 0.2500 0.2500  12 F 3.13

ΔE_f (raw) (eV per atom): -1.80
Magnetization (μB/cell): 1.000